Below is a relaxed structure of Hf4CdInC2, with properties calculated at the PBE level.

Lattice parameters (Å, degrees): 3.304 3.304 15.008 90.00 90.00 120.00
Fractional positions:
Hf 0.000 0.000 0.167
Hf 0.000 0.000 0.833
Hf 0.333 0.667 0.331
Hf 0.333 0.667 0.669
Cd 0.000 0.000 0.500
In 0.333 0.667 0.000
C 0.667 0.333 0.249
C 0.667 0.333 0.751



Below is a relaxed structure of KAuO, with properties calculated at the PBE level.

Lattice parameters (Å, degrees): 5.602 5.602 6.037 90.00 90.00 125.18
Fractional positions:
K 0.196 0.804 0.750
K 0.804 0.196 0.250
Au 0.500 0.500 0.000
Au 0.500 0.500 0.500
O 0.362 0.638 0.250
O 0.638 0.362 0.750



no.,V (Å³ per atom),total energy (eV for the cell shown)
1,17.74,-67.01
2,25.80,-23.59